(1)
Here is a relaxed SbHIr2 crystal from Alexandria. Energies are from PBEsol.

Cell: 4.2624 4.2624 4.2624 Å, 60.00 60.00 60.00°
Sites, in units of the cell vectors:
Sb: 0.5000 0.5000 0.5000
Ir: 0.7500 0.7500 0.7500
Ir: 0.2500 0.2500 0.2500
H: 0.0000 0.0000 0.0000

Results
For the total energy, the calculation gives -25.515 eV for the cell shown. Its density of states at the Fermi level is 0.161 states/eV/atom.



(2)
Here is a relaxed SbHIr3 crystal from Alexandria. Energies are from PBEsol.

Cell: 4.8160 4.8160 4.8160 Å, 90.00 90.00 90.00°
Sites, in units of the cell vectors:
Sb: 0.0000 0.0000 0.0000
Ir: 0.5000 0.0000 0.0000
Ir: 0.0000 0.5000 0.0000
Ir: 0.0000 0.0000 0.5000
H: 0.5000 0.5000 0.5000

Results
For the total energy, the calculation gives -24.478 eV for the cell shown. Its density of states at the Fermi level is 1.833 states/eV/atom.



(3)
Here is a relaxed Sc2H2Ir crystal from Alexandria. Energies are from PBEsol.

Cell: 3.1589 3.1589 6.2327 Å, 104.68 104.68 90.00°
Sites, in units of the cell vectors:
H: 0.2500 0.7500 0.5000
H: 0.7500 0.2500 0.5000
Sc: 0.6407 0.6407 0.2815
Sc: 0.3593 0.3593 0.7185
Ir: 0.0000 0.0000 0.0000

Results
For the total energy, the calculation gives -33.712 eV for the cell shown. Its density of states at the Fermi level is 0.216 states/eV/atom.



(4)
Here is a relaxed ScHIr3 crystal from Alexandria. Energies are from PBEsol.

Cell: 3.9501 3.9501 3.9501 Å, 90.00 90.00 90.00°
Sites, in units of the cell vectors:
Ir: 0.0000 0.0000 0.5000
Ir: 0.0000 0.5000 0.0000
Ir: 0.5000 0.0000 0.0000
Sc: 0.5000 0.5000 0.5000
H: 0.0000 0.0000 0.0000

Results
As for the offset from the most stable computed form: 0.039 eV/atom. Its density of states at the Fermi level is 0.771 states/eV/atom.



(5)
Here is a relaxed Sc2HIr crystal from Alexandria. Energies are from PBEsol.

Cell: 2.9510 2.9510 7.7353 Å, 79.00 79.00 60.00°
Sites, in units of the cell vectors:
H: 0.5000 0.5000 0.5000
Ir: 0.0000 0.0000 0.0000
Sc: 0.1085 0.1085 0.6746
Sc: 0.8915 0.8915 0.3254

Results
For the total energy, the calculation gives -26.516 eV for the cell shown. Its density of states at the Fermi level is 0.714 states/eV/atom.



(6)
Here is a relaxed ScHIr3 crystal from Alexandria. Energies are from PBEsol.

Cell: 5.5485 5.5485 5.5485 Å, 91.10 119.25 119.48°
Sites, in units of the cell vectors:
Sc: 0.4495 0.7181 0.2314
Sc: 0.4866 0.2181 0.7686
Ir: 0.4680 0.7186 0.7505
Ir: 0.9681 0.7175 0.2495
Ir: 0.9656 0.2182 0.2474
Ir: 0.9708 0.7182 0.7526
Ir: 0.9681 0.2186 0.7506
Ir: 0.4680 0.2175 0.2494
H: 0.4705 0.4693 0.5012
H: 0.9681 0.9693 0.4988

Results
As for the offset from the most stable computed form: 0.000 eV/atom. Its density of states at the Fermi level is 0.688 states/eV/atom.